(1)
An optimized crystal structure of K2YTlF6, computed with PBE.

## Properties
energy relative to the lowest polymorph listed for this composition: 85.5 meV/atom
Fermi-level density of states: 0.00 states/eV per cell
SG: Fm-3m (225)
formation energy without anion corrections: -293.2 kJ per mole of atoms

a = 6.8186 Å, b = 6.8186 Å, c = 6.8186 Å
α = 60.00°, β = 60.00°, γ = 60.00°
Closest atoms and distances in Å follow each position.
Positions (direct):
K: 0.2500 0.2500 0.2500  12 F 3.42
K: 0.7500 0.7500 0.7500  12 F 3.42
Y: 0.0000 0.0000 0.0000  6 F 2.18
Tl: 0.5000 0.5000 0.5000  6 F 2.64
F: 0.2261 0.2261 0.7739  1 Y 2.18
F: 0.2261 0.7739 0.2261  1 Y 2.18
F: 0.2261 0.7739 0.7739  1 Y 2.18
F: 0.7739 0.2261 0.2261  1 Y 2.18
F: 0.7739 0.2261 0.7739  1 Y 2.18
F: 0.7739 0.7739 0.2261  1 Y 2.18

=====

(2)
An optimized crystal structure of NdEuPb2, computed with PBE.

## Properties
formation energy: -0.469 eV per atom
energy relative to the lowest polymorph listed for this composition: 60.8 meV/atom
Fermi-level density of states: 2.90 states/eV per cell
SG: Fm-3m (225)

a = 5.6232 Å, b = 5.6232 Å, c = 5.6232 Å
α = 60.00°, β = 60.00°, γ = 60.00°
Closest atoms and distances in Å follow each position.
Positions (direct):
Nd: 0.0000 0.0000 0.0000  8 Pb 3.44
Eu: 0.5000 0.5000 0.5000  8 Pb 3.44
Pb: 0.2500 0.2500 0.2500  4 Nd 3.44, 4 Eu 3.44
Pb: 0.7500 0.7500 0.7500  4 Nd 3.44, 4 Eu 3.44